Record 1
Entry from Alexandria: a geometry-optimized LiPd3Ru structure (PBE).

a b c (Å): 4.821 4.821 4.821
angles (deg): 90.00 90.00 90.00
Sites, in units of the cell vectors:
Pd  0.000  0.500  0.000
Pd  0.000  0.000  0.500
Ru  0.000  0.000  0.000
Pd  0.500  0.000  0.000
Li  0.500  0.500  0.500

Computed properties:
* crystal system: cubic
* distance to the lowest polymorph of the same formula: 0.294 eV/atom
* calculated formation energy: 0.89 eV/atom
* space-group type: No. 221


Record 2
Entry from Alexandria: a geometry-optimized HoThZn4 structure (PBE).

a b c (Å): 5.510 5.510 5.510
angles (deg): 60.00 60.00 60.00
Sites, in units of the cell vectors:
Ho  0.000  0.000  0.000
Zn  0.626  0.626  0.122
Zn  0.626  0.122  0.626
Th  0.250  0.250  0.250
Zn  0.626  0.626  0.626
Zn  0.122  0.626  0.626

Computed properties:
* crystal system: cubic
* distance to the lowest polymorph of the same formula: 0.000 eV/atom
* calculated formation energy: -0.27 eV/atom
* space-group type: No. 216


Record 3
Entry from Alexandria: a geometry-optimized PaTa2Mn structure (PBE).

a b c (Å): 3.057 3.057 7.827
angles (deg): 90.00 90.00 90.00
Sites, in units of the cell vectors:
Mn  0.500  0.500  0.000
Ta  0.000  0.000  0.195
Ta  0.000  0.000  0.805
Pa  0.500  0.500  0.500

Computed properties:
* crystal system: tetragonal
* calculated formation energy: 0.08 eV/atom
* space-group type: No. 123


Record 4
Entry from Alexandria: a geometry-optimized Tb7Tm2Pu structure (PBE).

a b c (Å): 3.420 10.168 10.168
angles (deg): 108.27 90.00 90.00
Sites, in units of the cell vectors:
Tb  0.500  0.873  0.612
Tb  0.000  0.676  0.324
Tb  0.500  0.388  0.127
Tb  0.000  0.324  0.676
Tm  0.500  0.836  0.164
Tm  0.500  0.164  0.836
Tb  0.500  0.612  0.873
Pu  0.000  0.000  0.000
Tb  0.500  0.127  0.388
Tb  0.500  0.500  0.500

Computed properties:
* crystal system: orthorhombic
* calculated formation energy: 0.46 eV/atom
* space-group type: No. 65


Record 5
Entry from Alexandria: a geometry-optimized SmTm2Al2 structure (PBE).

a b c (Å): 4.446 7.065 10.992
angles (deg): 129.92 101.67 90.00
Sites, in units of the cell vectors:
Tm  0.366  0.733  0.733
Tm  0.366  0.233  0.733
Sm  0.000  0.250  0.000
Al  0.202  0.655  0.405
Sm  0.000  0.750  0.000
Tm  0.634  0.267  0.267
Al  0.798  0.345  0.595
Al  0.203  0.155  0.405
Al  0.797  0.845  0.595
Tm  0.634  0.767  0.267

Computed properties:
* crystal system: monoclinic
* distance to the lowest polymorph of the same formula: 0.028 eV/atom
* calculated formation energy: -0.27 eV/atom
* space-group type: No. 12


Record 6
Entry from Alexandria: a geometry-optimized Pa2ZnNiC structure (PBE).

a b c (Å): 3.478 6.756 8.391
angles (deg): 112.34 90.00 90.00
Sites, in units of the cell vectors:
Ni  0.750  0.455  0.269
Pa  0.750  0.790  0.609
Pa  0.250  0.229  0.987
C  0.750  0.138  0.167
Pa  0.250  0.210  0.391
Pa  0.750  0.771  0.013
Zn  0.750  0.278  0.707
Zn  0.250  0.722  0.293
C  0.250  0.862  0.833
Ni  0.250  0.545  0.731

Computed properties:
* crystal system: monoclinic
* calculated formation energy: -0.15 eV/atom
* space-group type: No. 11


Record 7
Entry from Alexandria: a geometry-optimized Cs2CdIr structure (PBE).

a b c (Å): 9.276 9.276 9.292
angles (deg): 60.06 60.06 90.00
Sites, in units of the cell vectors:
Ir  0.000  0.000  0.000
Cs  0.875  0.122  0.750
Ir  0.750  0.250  0.500
Cs  0.375  0.128  0.750
Cs  0.872  0.125  0.250
Cd  0.500  0.500  0.000
Cd  0.250  0.750  0.500
Cs  0.878  0.625  0.250

Computed properties:
* crystal system: tetragonal
* distance to the lowest polymorph of the same formula: 0.120 eV/atom
* calculated formation energy: 0.95 eV/atom
* space-group type: No. 122


Record 8
Entry from Alexandria: a geometry-optimized CeCo3Ge3 structure (PBE).

a b c (Å): 4.075 8.147 8.147
angles (deg): 120.00 90.00 90.00
Sites, in units of the cell vectors:
Co  0.750  0.150  0.948
Co  0.750  0.798  0.850
Ce  0.250  0.667  0.333
Ge  0.250  0.626  0.714
Ge  0.750  0.911  0.626
Co  0.250  0.202  0.150
Co  0.250  0.850  0.052
Co  0.750  0.052  0.202
Ce  0.750  0.333  0.667
Ge  0.750  0.714  0.089
Co  0.250  0.948  0.798
Ge  0.250  0.089  0.374
Ge  0.750  0.374  0.286
Ge  0.250  0.286  0.911

Computed properties:
* crystal system: hexagonal
* distance to the lowest polymorph of the same formula: 0.000 eV/atom
* calculated formation energy: -0.32 eV/atom
* space-group type: No. 176


Record 9
Entry from Alexandria: a geometry-optimized Li2Mg3Cd7 structure (PBE).

a b c (Å): 3.018 4.949 17.664
angles (deg): 98.29 90.00 90.00
Sites, in units of the cell vectors:
Cd  0.000  0.000  0.000
Cd  0.500  0.898  0.783
Cd  0.500  0.275  0.548
Cd  0.000  0.567  0.150
Cd  0.500  0.725  0.452
Li  0.500  0.642  0.295
Cd  0.000  0.433  0.850
Cd  0.500  0.102  0.217
Mg  0.000  0.187  0.379
Mg  0.500  0.500  0.000
Li  0.500  0.358  0.705
Mg  0.000  0.813  0.621

Computed properties:
* crystal system: monoclinic
* distance to the lowest polymorph of the same formula: 0.000 eV/atom
* calculated formation energy: -0.09 eV/atom
* space-group type: No. 10


Record 10
Entry from Alexandria: a geometry-optimized CoH2S2 structure (PBE).

a b c (Å): 2.896 2.896 5.889
angles (deg): 75.77 75.77 90.00
Sites, in units of the cell vectors:
Co  0.000  0.000  0.000
H  0.750  0.250  0.500
S  0.372  0.372  0.256
S  0.628  0.628  0.744
H  0.250  0.750  0.500

Computed properties:
* crystal system: tetragonal
* distance to the lowest polymorph of the same formula: 0.430 eV/atom
* space-group type: No. 139


Record 11
Entry from Alexandria: a geometry-optimized La10CeY4 structure (PBE).

a b c (Å): 10.846 8.882 8.882
angles (deg): 68.11 52.37 52.37
Sites, in units of the cell vectors:
La  0.563  0.895  0.670
Y  0.668  0.272  0.392
La  0.542  0.330  0.895
La  0.767  0.670  0.105
Ce  0.000  0.000  0.000
La  0.437  0.105  0.330
Y  0.940  0.392  0.728
Y  0.060  0.608  0.272
La  0.128  0.105  0.330
Y  0.332  0.728  0.608
La  0.233  0.330  0.895
La  0.250  0.500  0.500
La  0.750  0.500  0.500
La  0.872  0.895  0.670
La  0.458  0.670  0.105

Computed properties:
* crystal system: tetragonal
* calculated formation energy: 0.27 eV/atom
* space-group type: No. 87


Record 12
Entry from Alexandria: a geometry-optimized TiP2Pd structure (PBE).

a b c (Å): 4.339 4.339 4.339
angles (deg): 60.00 60.00 60.00
Sites, in units of the cell vectors:
Ti  0.000  0.000  0.000
Pd  0.500  0.500  0.500
P  0.250  0.250  0.250
P  0.750  0.750  0.750

Computed properties:
* crystal system: cubic
* distance to the lowest polymorph of the same formula: 0.149 eV/atom
* calculated formation energy: -0.40 eV/atom
* space-group type: No. 225


no.,uncorrected energy (eV per atom),spin magnetization (μB per formula unit)
1,-4.466,1.181
2,-3.123,0.000
3,-10.516,0.000
4,-5.106,5.383
5,-4.502,0.001
6,-7.199,0.001
7,-1.917,0.000
8,-6.194,0.507
9,-1.337,0.000
10,-3.789,0.570
11,-5.130,1.320
12,-6.379,0.000